# Pd2IF meta-GGA SCAN PBEsol geometry
data_Pd2IF
_chemical_formula_sum 'Pd8 I4 F4'
_cell_length_a 6.3246
_cell_length_b 6.3246
_cell_length_c 6.3246
_cell_angle_alpha 90.00
_cell_angle_beta 90.00
_cell_angle_gamma 90.00
_symmetry_space_group_name_H-M 'F m -3 m'
_symmetry_Int_Tables_number 225
_symmetry_space_group_name_Hall '-F 4 2 3'
loop_
_atom_site_label
_atom_site_fract_x
_atom_site_fract_y
_atom_site_fract_z
Pd1 0.2500 0.2500 0.2500
I1 0.0000 0.0000 0.0000
F1 0.0000 0.0000 0.5000
# Formation energy without anion corrections: -0.28 eV per atom
# Density: 9.42 g cm⁻³
# Volume: 15.81 A^3/atom
# E: -427.730 eV for the cell shown
# Total moment: 0.00 μB/f.u.


# TmAl7Fe5 meta-GGA SCAN PBEsol geometry
data_TmAl7Fe5
_chemical_formula_sum 'Tm2 Al14 Fe10'
_cell_length_a 4.9464
_cell_length_b 8.5098
_cell_length_c 8.5084
_cell_angle_alpha 90.00
_cell_angle_beta 90.00
_cell_angle_gamma 90.00
_symmetry_space_group_name_H-M 'I m m 2'
_symmetry_Int_Tables_number 44
loop_
_symmetry_equiv_pos_as_xyz
'x,y,z'
'-x,-y,z'
'-x,y,z'
'x,-y,z'
'x+1/2,y+1/2,z+1/2'
'-x+1/2,-y+1/2,z+1/2'
'-x+1/2,y+1/2,z+1/2'
'x+1/2,-y+1/2,z+1/2'
loop_
_atom_site_label
_atom_site_fract_x
_atom_site_fract_y
_atom_site_fract_z
Tm1 0.0000 0.0000 0.0000
Al1 0.0000 0.0000 0.3447
Al2 0.0000 0.0000 0.6669
Al3 0.0000 0.2925 0.5011
Al4 0.0000 0.3414 0.0152
Al5 0.0000 0.5000 0.7317
Fe1 0.0000 0.5000 0.2720
Fe2 0.2470 0.2497 0.7576
# Density: 5.91 g cm⁻³
# Volume: 13.77 A^3/atom
# E: -405.107 eV for the cell shown
# Total moment: 9.90 μB/f.u.